ZrFeBi2: optimized geometry, PBE.

Properties
Its density of states at the Fermi level is 6.32 states/eV per cell. The formation energy comes out at 0.28 eV/atom.

Structure (CIF):
```
data_ZrFeBi2
_chemical_formula_sum 'Zr4 Fe4 Bi8'
_cell_length_a 7.148
_cell_length_b 7.148
_cell_length_c 7.148
_cell_angle_alpha 90.00
_cell_angle_beta 90.00
_cell_angle_gamma 90.00
_symmetry_space_group_name_H-M 'P 1'
_symmetry_Int_Tables_number 1
loop_
_symmetry_equiv_pos_as_xyz
'x,y,z'
loop_
_atom_site_label
_atom_site_type_symbol
_atom_site_fract_x
_atom_site_fract_y
_atom_site_fract_z
_atom_site_occupancy
Zr1 Zr 0.000 0.000 0.000 1
Zr2 Zr 0.000 0.500 0.500 1
Zr3 Zr 0.500 0.000 0.500 1
Zr4 Zr 0.500 0.500 0.000 1
Fe1 Fe 0.000 0.000 0.500 1
Fe2 Fe 0.000 0.500 0.000 1
Fe3 Fe 0.500 0.000 0.000 1
Fe4 Fe 0.500 0.500 0.500 1
Bi1 Bi 0.250 0.250 0.250 1
Bi2 Bi 0.250 0.250 0.750 1
Bi3 Bi 0.250 0.750 0.250 1
Bi4 Bi 0.250 0.750 0.750 1
Bi5 Bi 0.750 0.250 0.250 1
Bi6 Bi 0.750 0.250 0.750 1
Bi7 Bi 0.750 0.750 0.250 1
Bi8 Bi 0.750 0.750 0.750 1
```

=====

CaP2ClF: optimized geometry, PBE.

Properties
Its density of states at the Fermi level is 3.13 states/eV per cell. The value obtained for the uncorrected formation energy is -254.6 kJ/mol of formula units.

Structure (CIF):
```
data_CaP2ClF
_chemical_formula_sum 'Ca1 P2 Cl1 F1'
_cell_length_a 4.136
_cell_length_b 4.136
_cell_length_c 5.814
_cell_angle_alpha 90.00
_cell_angle_beta 90.00
_cell_angle_gamma 90.00
_symmetry_space_group_name_H-M 'P 1'
_symmetry_Int_Tables_number 1
loop_
_symmetry_equiv_pos_as_xyz
'x,y,z'
loop_
_atom_site_label
_atom_site_type_symbol
_atom_site_fract_x
_atom_site_fract_y
_atom_site_fract_z
_atom_site_occupancy
Ca1 Ca 0.000 0.000 0.000 1
P1 P 0.000 0.500 0.500 1
P2 P 0.500 0.000 0.500 1
Cl1 Cl 0.500 0.500 0.000 1
F1 F 0.500 0.500 0.500 1
```

=====

ZrZnBr2: optimized geometry, PBE.

Properties
Its density of states at the Fermi level is 0.72 states/eV per cell. The value obtained for the uncorrected formation energy is -222.0 kJ/mol of formula units.

Structure (CIF):
```
data_ZrZnBr2
_chemical_formula_sum 'Zr2 Zn2 Br4'
_cell_length_a 10.204
_cell_length_b 3.417
_cell_length_c 6.989
_cell_angle_alpha 90.00
_cell_angle_beta 109.91
_cell_angle_gamma 90.00
_symmetry_space_group_name_H-M 'P 1'
_symmetry_Int_Tables_number 1
loop_
_symmetry_equiv_pos_as_xyz
'x,y,z'
loop_
_atom_site_label
_atom_site_type_symbol
_atom_site_fract_x
_atom_site_fract_y
_atom_site_fract_z
_atom_site_occupancy
Zr1 Zr 0.000 0.000 0.000 1
Zr2 Zr 0.500 0.500 0.000 1
Zn1 Zn 0.133 0.500 0.330 1
Zn2 Zn 0.633 0.000 0.330 1
Br1 Br 0.306 0.000 0.054 1
Br2 Br 0.495 0.000 0.694 1
Br3 Br 0.806 0.500 0.054 1
Br4 Br 0.995 0.500 0.694 1
```

=====

Sc2TiSeBr: optimized geometry, PBE.

Properties
Its density of states at the Fermi level is 4.48 states/eV per cell. The value obtained for the uncorrected formation energy is 32.0 kJ/mol of formula units.

Structure (CIF):
```
data_Sc2TiSeBr
_chemical_formula_sum 'Sc2 Ti1 Se1 Br1'
_cell_length_a 5.215
_cell_length_b 5.215
_cell_length_c 4.651
_cell_angle_alpha 90.00
_cell_angle_beta 90.00
_cell_angle_gamma 90.00
_symmetry_space_group_name_H-M 'P 1'
_symmetry_Int_Tables_number 1
loop_
_symmetry_equiv_pos_as_xyz
'x,y,z'
loop_
_atom_site_label
_atom_site_type_symbol
_atom_site_fract_x
_atom_site_fract_y
_atom_site_fract_z
_atom_site_occupancy
Sc1 Sc 0.000 0.500 0.000 1
Sc2 Sc 0.500 0.000 0.000 1
Ti1 Ti 0.000 0.000 0.000 1
Se1 Se 0.500 0.500 0.500 1
Br1 Br 0.000 0.000 0.500 1
```

=====

CrSi4Au: optimized geometry, PBE.

Properties
Its density of states at the Fermi level is 2.32 states/eV per cell. The value obtained for the uncorrected formation energy is 265.3 kJ/mol of formula units.

Structure (CIF):
```
data_CrSi4Au
_chemical_formula_sum 'Cr1 Si4 Au1'
_cell_length_a 5.050
_cell_length_b 5.050
_cell_length_c 5.050
_cell_angle_alpha 60.00
_cell_angle_beta 60.00
_cell_angle_gamma 60.00
_symmetry_space_group_name_H-M 'P 1'
_symmetry_Int_Tables_number 1
loop_
_symmetry_equiv_pos_as_xyz
'x,y,z'
loop_
_atom_site_label
_atom_site_type_symbol
_atom_site_fract_x
_atom_site_fract_y
_atom_site_fract_z
_atom_site_occupancy
Cr1 Cr 0.000 0.000 0.000 1
Si1 Si 0.124 0.625 0.625 1
Si2 Si 0.625 0.124 0.625 1
Si3 Si 0.625 0.625 0.124 1
Si4 Si 0.625 0.625 0.625 1
Au1 Au 0.250 0.250 0.250 1
```

=====

Ac2TbCd: optimized geometry, PBE.

Properties
Its density of states at the Fermi level is 16.31 states/eV per cell. The formation energy comes out at -0.12 eV/atom.

Structure (CIF):
```
data_Ac2TbCd
_chemical_formula_sum 'Ac8 Tb4 Cd4'
_cell_length_a 5.516
_cell_length_b 5.516
_cell_length_c 18.776
_cell_angle_alpha 90.00
_cell_angle_beta 90.00
_cell_angle_gamma 90.00
_symmetry_space_group_name_H-M 'P 1'
_symmetry_Int_Tables_number 1
loop_
_symmetry_equiv_pos_as_xyz
'x,y,z'
loop_
_atom_site_label
_atom_site_type_symbol
_atom_site_fract_x
_atom_site_fract_y
_atom_site_fract_z
_atom_site_occupancy
Ac1 Ac 0.000 0.000 0.141 1
Ac2 Ac 0.000 0.000 0.859 1
Ac3 Ac 0.000 0.500 0.000 1
Ac4 Ac 0.000 0.500 0.500 1
Ac5 Ac 0.500 0.000 0.000 1
Ac6 Ac 0.500 0.000 0.500 1
Ac7 Ac 0.500 0.500 0.359 1
Ac8 Ac 0.500 0.500 0.641 1
Tb1 Tb 0.000 0.000 0.352 1
Tb2 Tb 0.000 0.000 0.648 1
Tb3 Tb 0.500 0.500 0.148 1
Tb4 Tb 0.500 0.500 0.852 1
Cd1 Cd 0.000 0.500 0.250 1
Cd2 Cd 0.000 0.500 0.750 1
Cd3 Cd 0.500 0.000 0.250 1
Cd4 Cd 0.500 0.000 0.750 1
```